The following is a DFT calculation (GGA+U) of a relaxed structure of LaCo2O2.

For the density, the calculation gives 5.89 g cm⁻³. As for the space group: P4/mbm, No. 127. The offset from the most stable computed form comes out at 440 meV/atom. As for the energy: -0.208 Ha/atom.

abc: 6.8233 6.8233 3.4995
angles: 90.00 90.00 90.00
With the nearest neighbours (Å) after each atom.
Element x y z (fractional)
La  0.0000  0.0000  0.0000  4 Co 2.67
La  0.5000  0.5000  0.0000  4 Co 2.67
Co  0.1308  0.3692  0.0000  2 O 1.81
Co  0.3692  0.8692  0.0000  2 O 1.81
Co  0.6308  0.1308  0.0000  2 O 1.81
Co  0.8692  0.6308  0.0000  2 O 1.81
O  0.1777  0.3223  0.5000  2 Co 1.81
O  0.3223  0.8223  0.5000  2 Co 1.81
O  0.6777  0.1777  0.5000  2 Co 1.81
O  0.8223  0.6777  0.5000  2 Co 1.81